A relaxed structure of Tm6Co2Ge, computed with PBE-GGA.

The space group is Immm (No. 71) and the conventional cell measures 9.1618, 9.3521 and 9.6676 Å, with angles of 90.00, 90.00 and 90.00 degrees. The distinct sites, in fractional coordinates, are Tm at (0.0000, 0.1986, 0.2394), Tm at (0.1874, 0.5000, 0.1728), Tm at (0.2218, 0.3201, 0.5000), Co at (0.0000, 0.3402, 0.0000), Co at (0.0000, 0.5000, 0.3843), Ge at (0.0000, 0.0000, 0.0000) and Ge at (0.0000, 0.0000, 0.5000).

As for the density: 9655 kg/m3. The total magnetization is 0.00 μB/f.u. For the total energy, the calculation gives -5.446 eV per atom.